Below is SrFeTcO6 after structural relaxation, with properties calculated at the PBE with a Hubbard U level.

abc: 5.2419 5.2419 5.3486
angles: 90.00 90.00 120.00
Space group P312 (No. 149)
One atom of each set of equivalent atoms:
1 Sr 0.0000 0.0000 0.0000 x1
2 Fe 0.3333 0.6667 0.5000 x1
3 Tc 0.6667 0.3333 0.5000 x1
4 O 0.3920 0.0166 0.7032 x6

Energy: -0.257 hartree per atom